Record 1
A plane-wave DFT calculation with GGA-PBE was carried out for crystalline Na3AgC at its relaxed geometry.

Summary:
energy of formation from the pure elements: 1.323 eV/atom
ΔE to the lowest computed polymorph: 484 meV/atom

a b c (Å): 5.5350 5.5350 5.5350
angles (deg): 90.00 90.00 90.00
Atoms (fractional coordinates):
Na 0.0000 0.0000 0.5000
Na 0.0000 0.5000 0.0000
Na 0.5000 0.0000 0.0000
Ag 0.0000 0.0000 0.0000
C 0.5000 0.5000 0.5000

Record 2
A plane-wave DFT calculation with GGA-PBE was carried out for crystalline Zn2GaPb2 at its relaxed geometry.

Summary:
energy of formation from the pure elements: 0.126 eV/atom
ΔE to the lowest computed polymorph: 21 meV/atom

a b c (Å): 3.7093 3.7093 17.5575
angles (deg): 90.00 90.00 90.00
Atoms (fractional coordinates):
Zn 0.0000 0.5000 0.2500
Zn 0.0000 0.5000 0.7500
Zn 0.5000 0.0000 0.2500
Zn 0.5000 0.0000 0.7500
Ga 0.0000 0.0000 0.0000
Ga 0.5000 0.5000 0.5000
Pb 0.0000 0.0000 0.3924
Pb 0.0000 0.0000 0.6076
Pb 0.5000 0.5000 0.1076
Pb 0.5000 0.5000 0.8924

Record 3
A plane-wave DFT calculation with GGA-PBE was carried out for crystalline LiSbSCl2 at its relaxed geometry.

Summary:
raw formation energy: -0.395 eV/atom
ΔE to the lowest computed polymorph: 193 meV/atom

a b c (Å): 4.4418 4.4418 5.0585
angles (deg): 90.00 90.00 90.00
Atoms (fractional coordinates):
Li 0.0000 0.0000 0.0000
Sb 0.5000 0.5000 0.5000
S 0.0000 0.0000 0.5000
Cl 0.0000 0.5000 0.0000
Cl 0.5000 0.0000 0.0000

Record 4
A plane-wave DFT calculation with GGA-PBE was carried out for crystalline CaMg2InPt at its relaxed geometry.

Summary:
energy of formation from the pure elements: -0.379 eV/atom

a b c (Å): 5.0568 5.0568 5.1970
angles (deg): 90.00 90.00 90.00
Atoms (fractional coordinates):
Ca 0.0000 0.0000 0.0000
Mg 0.0000 0.5000 0.5000
Mg 0.5000 0.0000 0.5000
In 0.5000 0.5000 0.0000
Pt 0.5000 0.5000 0.5000

Record 5
A plane-wave DFT calculation with GGA-PBE was carried out for crystalline HoFe2C3 at its relaxed geometry.

Summary:
energy of formation from the pure elements: -0.039 eV/atom

a b c (Å): 5.4590 5.4590 4.7810
angles (deg): 90.00 90.00 106.27
Atoms (fractional coordinates):
Ho 0.2100 0.7900 0.7500
Ho 0.7900 0.2100 0.2500
Fe 0.3102 0.3102 0.0000
Fe 0.3102 0.3102 0.5000
Fe 0.6898 0.6898 0.0000
Fe 0.6898 0.6898 0.5000
C 0.0310 0.1804 0.7500
C 0.1804 0.0310 0.2500
C 0.4131 0.5869 0.2500
C 0.5869 0.4131 0.7500
C 0.8196 0.9690 0.7500
C 0.9690 0.8196 0.2500

Record 6
A plane-wave DFT calculation with GGA-PBE was carried out for crystalline AsIr2Se at its relaxed geometry.

Summary:
raw formation energy: 0.488 eV/atom
ΔE to the lowest computed polymorph: 452 meV/atom

a b c (Å): 3.8035 3.8035 8.7771
angles (deg): 90.00 90.00 90.00
Atoms (fractional coordinates):
As 0.0000 0.0000 0.0000
As 0.5000 0.5000 0.5000
Ir 0.0000 0.0000 0.5000
Ir 0.0000 0.5000 0.7500
Ir 0.5000 0.0000 0.2500
Ir 0.5000 0.5000 0.0000
Se 0.0000 0.5000 0.2500
Se 0.5000 0.0000 0.7500

no.,energy (eV/atom),N(E_F) (states/eV/atom)
1,-1.884,0.37
2,-2.473,0.39
3,-3.166,0.52
4,-3.173,0.65
5,-8.235,0.63
6,-5.976,0.67